# 1
An optimized crystal structure of LaPm4Pb, computed with PBE-GGA.

For the calculated formation energy, the calculation gives -0.1571 eV per atom. The total energy comes out at -4.76 eV/atom.

a b c (Å): 5.7420 6.9454 10.0643
angles (deg): 90.00 90.03 90.00
Closest atoms and distances in Å follow each position.
Space group P2_1/m (No. 11)
One atom of each set of equivalent atoms:
La (0.2490, 0.2500, 0.0670) [2 per cell]  11 Pm 3.44-3.83
Pm (0.2504, 0.2500, 0.4168) [2 per cell]  4 Pb 3.23-3.48, 1 La 3.52
Pm (0.2496, 0.5078, 0.7462) [4 per cell]  6 Pm 3.36-3.71, 1 Pb 3.54, 1 La 3.69
Pm (0.2509, 0.7500, 0.1210) [2 per cell]  1 Pb 3.18, 4 La 3.44-3.52
Pb (0.2496, 0.7500, 0.4367) [2 per cell]  7 Pm 3.18-3.54

# 2
An optimized crystal structure of Sr8Ca2Ac, computed with PBE-GGA.

For the calculated formation energy, the calculation gives 0.1103 eV per atom. The total energy comes out at -1.85 eV/atom.

a b c (Å): 13.2843 8.0836 10.8193
angles (deg): 90.00 92.78 90.00
Closest atoms and distances in Å follow each position.
Space group C2/m (No. 12)
One atom of each set of equivalent atoms:
Sr (0.1098, 0.2486, 0.2840) [8 per cell]  3 Ca 3.88-4.13, 1 Ac 3.90, 5 Sr 3.92-4.24
Sr (0.1347, 0.0000, 0.6472) [4 per cell]  4 Sr 3.92-4.00, 3 Ca 4.09, 1 Ac 4.29
Sr (0.1633, 0.5000, 0.9501) [4 per cell]  1 Ca 3.91, 2 Sr 4.24
Ca (0.1344, 0.5000, 0.5891) [4 per cell]  10 Sr 3.88-4.13, 1 Ca 3.97
Ac (0.0000, 0.0000, 0.0000) [2 per cell]  6 Sr 3.90-4.29

# 3
An optimized crystal structure of CaHo2, computed with PBE-GGA.

For the energy above the lowest structure with this stoichiometry, the calculation gives 108.5 meV/atom. For the calculated formation energy, the calculation gives 0.1820 eV per atom. The total energy comes out at -3.54 eV/atom.

a b c (Å): 9.4832 9.4832 9.4832
angles (deg): 90.00 90.00 90.00
Closest atoms and distances in Å follow each position.
Space group Fd-3m (No. 227, origin choice 2)
One atom of each set of equivalent atoms:
Ca (0.1250, 0.1250, 0.1250) [8 per cell]  12 Ho 3.93, 4 Ca 4.11
Ho (0.0000, 0.0000, 0.5000) [16 per cell]  6 Ho 3.35

# 4
An optimized crystal structure of TbGa2Pt3, computed with PBE-GGA.

For the calculated formation energy, the calculation gives -0.9099 eV per atom. The total energy comes out at -5.71 eV/atom.

a b c (Å): 16.7953 4.0511 9.9768
angles (deg): 90.00 106.79 90.00
Closest atoms and distances in Å follow each position.
Space group C2/m (No. 12)
One atom of each set of equivalent atoms:
Tb (0.0000, 0.0000, 0.0000) [2 per cell]  6 Pt 3.04-3.19, 6 Ga 3.12-3.20
Tb (0.1639, 0.0000, 0.7078) [4 per cell]  5 Pt 3.13-3.34, 6 Ga 3.13-3.21
Ga (0.0396, 0.5000, 0.7789) [4 per cell]  5 Pt 2.44-2.68
Ga (0.1385, 0.5000, 0.4542) [4 per cell]  7 Pt 2.45-2.67
Ga (0.1934, 0.0000, 0.1245) [4 per cell]  6 Pt 2.51-2.62
Pt (0.0000, 0.5000, 0.5000) [2 per cell]  4 Ga 2.50-2.67
Pt (0.0408, 0.0000, 0.3326) [4 per cell]  4 Ga 2.51-2.67
Pt (0.1135, 0.5000, 0.1891) [4 per cell]  4 Ga 2.55-2.68, 1 Pt 2.86
Pt (0.1765, 0.5000, 0.9521) [4 per cell]  4 Ga 2.44-2.62
Pt (0.2188, 0.0000, 0.3896) [4 per cell]  4 Ga 2.45-2.62

# 5
An optimized crystal structure of LaGaOs2S, computed with PBE-GGA.

The calculation puts the raw formation energy at 1.913 eV per atom. The total energy comes out at -4.99 eV/atom.

a b c (Å): 5.0882 5.0882 5.5465
angles (deg): 90.00 90.00 90.00
Closest atoms and distances in Å follow each position.
Space group P4/mmm (No. 123)
One atom of each set of equivalent atoms:
La (0.0000, 0.0000, 0.0000) [1 per cell]  4 Os 2.54, 2 S 2.77
Ga (0.5000, 0.5000, 0.5000) [1 per cell]  4 S 3.60, 8 Os 3.76
Os (0.0000, 0.5000, 0.0000) [2 per cell]  2 La 2.54
S (0.0000, 0.0000, 0.5000) [1 per cell]  2 La 2.77

# 6
An optimized crystal structure of LiPW2, computed with PBE-GGA.

For the calculated formation energy, the calculation gives 0.4098 eV per atom. The total energy comes out at -7.90 eV/atom.

a b c (Å): 3.1588 4.5865 8.4291
angles (deg): 90.00 90.00 90.00
Closest atoms and distances in Å follow each position.
Space group Cmmm (No. 65)
One atom of each set of equivalent atoms:
Li (0.0000, 0.0000, 0.0000) [2 per cell]  4 Li 2.78, 4 W 2.84
P (0.0000, 0.0000, 0.5000) [2 per cell]  4 W 2.44
W (0.0000, 0.5000, 0.2797) [4 per cell]  2 P 2.44

# 7
An optimized crystal structure of HoPuAl2Zn2, computed with PBE-GGA.

For the calculated formation energy, the calculation gives -0.2786 eV per atom. The total energy comes out at -5.10 eV/atom.

a b c (Å): 4.5213 4.5213 7.0568
angles (deg): 90.00 90.00 120.00
Closest atoms and distances in Å follow each position.
Space group P-3m1 (No. 164)
One atom of each set of equivalent atoms:
Ho (0.0000, 0.0000, 0.0000) [1 per cell]  6 Zn 3.12, 6 Al 3.15
Pu (0.0000, 0.0000, 0.5000) [1 per cell]  6 Al 3.15, 6 Zn 3.18
Al (0.3333, 0.6667, 0.2511) [2 per cell]  3 Zn 2.61
Zn (0.3333, 0.6667, 0.7573) [2 per cell]  3 Al 2.61

# 8
An optimized crystal structure of TaAlIn2, computed with PBE-GGA.

For the calculated formation energy, the calculation gives 0.2097 eV per atom. The total energy comes out at -5.06 eV/atom.

a b c (Å): 2.9106 5.0158 5.4912
angles (deg): 90.00 90.24 90.00
Closest atoms and distances in Å follow each position.
Space group P2/m (No. 10)
One atom of each set of equivalent atoms:
Ta (0.0000, 0.0000, 0.0000) [1 per cell]  2 Ta 2.91, 4 Al 3.10-3.11, 4 In 3.10
Al (0.5000, 0.0000, 0.5000) [1 per cell]  4 In 2.88, 2 Al 2.91, 4 Ta 3.10-3.11
In (0.4263, 0.5000, 0.2458) [2 per cell]  4 In 2.74-2.91, 2 Al 2.88

The magnetization results, record by record, are as follows: 0.00, 0.00, 0.00, 0.00, 3.94, 0.00, 6.09, 0.00 μB/f.u..